This record from Alexandria describes crystalline NaTm5Cd6 at its relaxed geometry. The functional is GGA-PBE.

Values from the calculation:
ΔH_f (0 K) ... -3.099 eV per formula unit
DOS at the Fermi energy ... 0.757 states/eV/atom
Crystal system ... monoclinic

abc: 5.2161 7.3866 8.2606
angles: 90.00 71.47 90.00
Sites, in units of the cell vectors:
Na 0.0000 0.0000 0.0000
Cd 0.8335 0.2494 0.3329
Cd 0.5000 0.7518 0.0000
Tm 0.0000 0.5000 0.0000
Tm 0.3327 0.0000 0.3342
Tm 0.3348 0.5000 0.3304
Cd 0.8335 0.7506 0.3329
Tm 0.6673 0.0000 0.6658
Cd 0.5000 0.2482 0.0000
Cd 0.1665 0.7506 0.6671
Tm 0.6652 0.5000 0.6696
Cd 0.1665 0.2494 0.6671